[1]
Here is a relaxed structure of Pu3Mn3Si8 from the Alexandria database. Energies are from PBE.

Unit cell a=7.661 b=7.661 c=7.661 alpha=149.51 beta=103.72 gamma=84.32
Atoms (fractional coordinates):
Pu  0.000  0.000  0.000
Pu  0.318  0.318  0.000
Pu  0.682  0.682  0.000
Mn  0.287  0.500  0.787
Mn  0.500  0.000  0.500
Mn  0.713  0.500  0.213
Si  0.027  0.663  0.364
Si  0.164  0.881  0.283
Si  0.298  0.663  0.636
Si  0.402  0.119  0.283
Si  0.598  0.881  0.717
Si  0.702  0.337  0.364
Si  0.836  0.119  0.717
Si  0.973  0.337  0.636

SG: No. 71



[2]
Here is a relaxed structure of Pu3MnSi3 from the Alexandria database. Energies are from PBE.

Unit cell a=5.666 b=5.666 c=13.023 alpha=90.00 beta=90.00 gamma=138.78
Atoms (fractional coordinates):
Pu  0.032  0.968  0.750
Pu  0.279  0.721  0.096
Pu  0.279  0.721  0.404
Pu  0.721  0.279  0.596
Pu  0.721  0.279  0.904
Pu  0.968  0.032  0.250
Mn  0.000  0.000  0.000
Mn  0.000  0.000  0.500
Si  0.312  0.688  0.750
Si  0.436  0.564  0.596
Si  0.436  0.564  0.904
Si  0.564  0.436  0.096
Si  0.564  0.436  0.404
Si  0.688  0.312  0.250

SG: No. 63



[3]
Here is a relaxed structure of Pu2MnSi2 from the Alexandria database. Energies are from PBE.

Unit cell a=5.587 b=5.587 c=9.822 alpha=115.93 beta=115.93 gamma=44.00
Atoms (fractional coordinates):
Pu  0.096  0.096  0.396
Pu  0.324  0.324  0.816
Pu  0.676  0.676  0.184
Pu  0.904  0.904  0.604
Mn  0.336  0.336  0.108
Mn  0.664  0.664  0.892
Si  0.076  0.076  0.935
Si  0.384  0.384  0.379
Si  0.616  0.616  0.621
Si  0.924  0.924  0.065

SG: No. 12



[4]
Here is a relaxed structure of PuMnSi2Tc from the Alexandria database. Energies are from PBE.

Unit cell a=5.970 b=5.970 c=5.970 alpha=141.24 beta=141.24 gamma=55.98
Atoms (fractional coordinates):
Pu  0.000  0.000  0.000
Mn  0.250  0.750  0.500
Si  0.384  0.384  0.000
Si  0.616  0.616  0.000
Tc  0.750  0.250  0.500

SG: No. 119



So what do the calculations give for size of the total moment? Going down the list: 12.06 14.36 8.68 7.77 μB/f.u..
So what do the calculations give for formation energy without anion corrections? Going down the list: -0.394 -0.399 -0.421 -0.464 eV/atom.
So what do the calculations give for VASP energy? Going down the list: -119.40 -142.46 -101.57 -47.03 eV per cell.